[1]
# Ti3Cu2Ni8

A geometry-optimized Ti3Cu2Ni8 structure (PBE, the Alexandria database).

Unit cell a=4.666 b=4.666 c=9.276 alpha=75.43 beta=75.43 gamma=60.00
Element x y z (fractional)
Ti1 0.000 0.000 0.000
Ti2 0.813 0.813 0.561
Ti3 0.187 0.187 0.439
Cu1 0.639 0.639 0.084
Cu2 0.361 0.361 0.916
Ni1 0.725 0.725 0.826
Ni2 0.275 0.275 0.174
Ni3 0.229 0.730 0.311
Ni4 0.730 0.229 0.311
Ni5 0.730 0.730 0.311
Ni6 0.270 0.771 0.689
Ni7 0.771 0.270 0.689
Ni8 0.270 0.270 0.689

Summary:
E_tot   -6.101 eV/atom
ΔH_f (0 K)   -0.091 eV/atom

=====

[2]
# Tm3ScCo

A geometry-optimized Tm3ScCo structure (PBE, the Alexandria database).

Unit cell a=3.483 b=11.766 c=12.173 alpha=90.00 beta=90.00 gamma=90.00
Element x y z (fractional)
Tm1 0.250 0.034 0.386
Tm2 0.750 0.466 0.886
Tm3 0.750 0.966 0.614
Tm4 0.250 0.534 0.114
Tm5 0.250 0.284 0.243
Tm6 0.750 0.216 0.743
Tm7 0.750 0.716 0.757
Tm8 0.250 0.784 0.257
Tm9 0.250 0.464 0.627
Tm10 0.750 0.036 0.127
Tm11 0.750 0.536 0.373
Tm12 0.250 0.964 0.873
Sc1 0.250 0.235 0.985
Sc2 0.750 0.265 0.485
Sc3 0.750 0.765 0.015
Sc4 0.250 0.735 0.515
Co1 0.250 0.145 0.587
Co2 0.750 0.355 0.087
Co3 0.750 0.855 0.413
Co4 0.250 0.645 0.913

Summary:
E_tot   -5.501 eV/atom
ΔE to the lowest computed polymorph   0.0 kJ/mol of atoms
ΔH_f (0 K)   -0.130 eV/atom

=====

[3]
# KTiCd3

A geometry-optimized KTiCd3 structure (PBE, the Alexandria database).

Unit cell a=5.555 b=5.555 c=5.555 alpha=90.00 beta=90.00 gamma=90.00
Element x y z (fractional)
K1 0.500 0.500 0.500
Ti1 0.000 0.000 0.000
Cd1 0.000 0.500 0.000
Cd2 0.000 0.000 0.500
Cd3 0.500 0.000 0.000

Summary:
E_tot   -1.963 eV/atom
ΔE to the lowest computed polymorph   0.0 kJ/mol of atoms
ΔH_f (0 K)   0.385 eV/atom

=====

[4]
# Hg2Pb5Au2

A geometry-optimized Hg2Pb5Au2 structure (PBE, the Alexandria database).

Unit cell a=5.843 b=11.118 c=9.349 alpha=125.70 beta=90.95 gamma=89.86
Element x y z (fractional)
Hg1 0.483 0.793 0.828
Hg2 0.510 0.122 0.223
Hg3 0.979 0.532 0.828
Hg4 0.013 0.602 0.224
Pb1 0.480 0.712 0.119
Pb2 0.184 0.290 0.890
Pb3 0.981 0.909 0.128
Pb4 0.685 0.090 0.883
Pb5 0.969 0.703 0.652
Pb6 0.995 0.305 0.309
Pb7 0.465 0.450 0.650
Pb8 0.495 0.512 0.317
Pb9 0.200 0.923 0.542
Pb10 0.699 0.129 0.549
Au1 0.163 0.040 0.942
Au2 0.663 0.398 0.948
Au3 0.684 0.825 0.480
Au4 0.180 0.165 0.488

Summary:
E_tot   -2.880 eV/atom
ΔE to the lowest computed polymorph   1.9 kJ/mol of atoms
ΔH_f (0 K)   -0.024 eV/atom

=====

[5]
# Gd2TmGe

A geometry-optimized Gd2TmGe structure (PBE, the Alexandria database).

Unit cell a=4.716 b=4.665 c=4.665 alpha=90.00 beta=90.00 gamma=90.00
Element x y z (fractional)
Gd1 0.000 0.000 0.500
Gd2 0.000 0.500 0.000
Ge1 0.500 0.500 0.500
Tm1 0.500 0.000 0.000

Summary:
E_tot   -9.654 eV/atom
ΔE to the lowest computed polymorph   0.0 kJ/mol of atoms
ΔH_f (0 K)   -0.341 eV/atom

=====

[6]
# SrSn2Au4

A geometry-optimized SrSn2Au4 structure (PBE, the Alexandria database).

Unit cell a=6.627 b=6.627 c=6.627 alpha=102.61 beta=102.61 gamma=124.30
Element x y z (fractional)
Sr1 0.000 0.000 0.000
Sn1 0.250 0.750 0.500
Sn2 0.750 0.250 0.500
Au1 0.731 0.500 0.231
Au2 0.500 0.731 0.231
Au3 0.500 0.269 0.769
Au4 0.269 0.500 0.769

Summary:
E_tot   -3.434 eV/atom
ΔE to the lowest computed polymorph   23.4 kJ/mol of atoms
ΔH_f (0 K)   -0.177 eV/atom

=====

[7]
# Cs3ScTc

A geometry-optimized Cs3ScTc structure (PBE, the Alexandria database).

Unit cell a=6.055 b=6.055 c=6.055 alpha=90.00 beta=90.00 gamma=90.00
Element x y z (fractional)
Cs1 0.000 0.500 0.000
Cs2 0.000 0.000 0.500
Cs3 0.500 0.000 0.000
Sc1 0.500 0.500 0.500
Tc1 0.000 0.000 0.000

Summary:
E_tot   -2.194 eV/atom
ΔH_f (0 K)   1.658 eV/atom

=====

[8]
# LiTiN2

A geometry-optimized LiTiN2 structure (PBE, the Alexandria database).

Unit cell a=5.757 b=5.757 c=5.757 alpha=32.92 beta=32.92 gamma=32.92
Element x y z (fractional)
N1 0.890 0.890 0.890
N2 0.110 0.110 0.110
Li1 0.500 0.500 0.500
Ti1 0.000 0.000 0.000

Summary:
Formation energy from raw total energies   0.678 eV/atom
E_tot   -5.937 eV/atom
ΔE to the lowest computed polymorph   141.6 kJ/mol of atoms

=====

[9]
# SrMgZnAu2

A geometry-optimized SrMgZnAu2 structure (PBE, the Alexandria database).

Unit cell a=4.276 b=4.276 c=6.963 alpha=107.88 beta=107.88 gamma=90.00
Element x y z (fractional)
Sr1 0.000 0.000 0.000
Mg1 0.250 0.750 0.500
Zn1 0.750 0.250 0.500
Au1 0.615 0.615 0.229
Au2 0.385 0.385 0.771

Summary:
E_tot   -2.812 eV/atom
ΔH_f (0 K)   -0.591 eV/atom

=====

[10]
# RbAsPdI6

A geometry-optimized RbAsPdI6 structure (PBE, the Alexandria database).

Unit cell a=7.460 b=7.460 c=8.315 alpha=90.01 beta=90.00 gamma=60.00
Element x y z (fractional)
Rb1 0.000 0.000 0.000
As1 0.667 0.667 0.500
Pd1 0.333 0.333 0.500
I1 0.004 0.369 0.302
I2 0.369 0.004 0.698
I3 0.627 0.369 0.698
I4 0.004 0.627 0.698
I5 0.369 0.627 0.302
I6 0.627 0.004 0.302

Summary:
Formation energy from raw total energies   -0.402 eV/atom
E_tot   -2.637 eV/atom

=====

[11]
# AgAs2Pt

A geometry-optimized AgAs2Pt structure (PBE, the Alexandria database).

Unit cell a=4.664 b=4.664 c=4.664 alpha=60.00 beta=60.00 gamma=60.00
Element x y z (fractional)
As1 0.000 0.000 0.000
As2 0.250 0.250 0.250
Ag1 0.500 0.500 0.500
Pt1 0.750 0.750 0.750

Summary:
E_tot   -4.267 eV/atom
ΔE to the lowest computed polymorph   32.7 kJ/mol of atoms
ΔH_f (0 K)   0.281 eV/atom

=====

[12]
# BeHPd2

A geometry-optimized BeHPd2 structure (PBE, the Alexandria database).

Unit cell a=2.822 b=2.822 c=5.598 alpha=104.39 beta=104.36 gamma=89.43
Element x y z (fractional)
Be1 0.224 0.879 0.228
H1 0.466 0.635 0.728
Pd1 0.855 0.512 0.496
Pd2 0.591 0.248 0.961

Summary:
E_tot   -4.728 eV/atom
ΔE to the lowest computed polymorph   0.0 kJ/mol of atoms

=====

> The lowest E_tot belongs to which entry?

Gd2TmGe

=====

> The lowest E_tot belongs to which entry?

Gd2TmGe

=====

> The lowest E_tot belongs to which entry?

Gd2TmGe